#w
## Pr2Ho2CBr2Cl3 (PBE)

Data for an optimized crystal structure of Pr2Ho2CBr2Cl3.

Cell lengths 8.9519, 8.9519, 8.2681 Å; angles 101.54, 101.54, 24.93 degrees
Atoms (fractional coordinates):
1 Pr 0.0039 0.0039 0.2869
2 Pr 0.9961 0.9961 0.7131
3 Ho 0.3604 0.3604 0.4306
4 Ho 0.6396 0.6396 0.5694
5 C 0.5000 0.5000 0.5000
6 Br 0.1712 0.1712 0.8268
7 Br 0.8288 0.8288 0.1732
8 Cl 0.1760 0.1760 0.3614
9 Cl 0.5000 0.5000 0.0000
10 Cl 0.8240 0.8240 0.6386

Summary:
* space group: C2/m, No. 12



#x
## Pr2Ho2CBr2Cl3 (PBE)

Data for an optimized crystal structure of Pr2Ho2CBr2Cl3.

Cell lengths 8.9429, 8.9429, 7.9484 Å; angles 102.78, 102.78, 24.37 degrees
Atoms (fractional coordinates):
1 Pr 0.1490 0.1490 0.0767
2 Pr 0.8510 0.8510 0.9233
3 Ho 0.4982 0.4982 0.2070
4 Ho 0.5018 0.5018 0.7930
5 C 0.0000 0.0000 0.0000
6 Br 0.3386 0.3386 0.6330
7 Br 0.6614 0.6614 0.3670
8 Cl 0.0000 0.0000 0.5000
9 Cl 0.3366 0.3366 0.1880
10 Cl 0.6634 0.6634 0.8120

Summary:
* space group: C2/m, No. 12



Least stable of them? #x.



#w
## Sm2Ho2CBr4Cl (PBE)

Data for an optimized crystal structure of Sm2Ho2CBr4Cl.

Cell lengths 9.1956, 9.1956, 8.0438 Å; angles 102.50, 102.50, 24.07 degrees
Atoms (fractional coordinates):
1 Sm 0.0014 0.0014 0.2879
2 Sm 0.9986 0.9986 0.7121
3 Ho 0.3638 0.3638 0.4270
4 Ho 0.6362 0.6362 0.5730
5 C 0.5000 0.5000 0.5000
6 Br 0.1660 0.1660 0.8407
7 Br 0.1724 0.1724 0.3353
8 Br 0.8276 0.8276 0.6647
9 Br 0.8340 0.8340 0.1593
10 Cl 0.5000 0.5000 0.0000

Summary:
* space group: C2/m, No. 12



#x
## Sm2Ho2CBr4Cl (PBE)

Data for an optimized crystal structure of Sm2Ho2CBr4Cl.

Cell lengths 9.1422, 9.1422, 7.9623 Å; angles 103.65, 103.65, 23.86 degrees
Atoms (fractional coordinates):
1 Sm 0.1420 0.1420 0.0792
2 Sm 0.8580 0.8580 0.9208
3 Ho 0.4997 0.4997 0.2069
4 Ho 0.5003 0.5003 0.7931
5 C 0.0000 0.0000 0.0000
6 Br 0.3329 0.3329 0.1844
7 Br 0.3383 0.3383 0.6374
8 Br 0.6617 0.6617 0.3626
9 Br 0.6671 0.6671 0.8156
10 Cl 0.0000 0.0000 0.5000

Summary:
* space group: C2/m, No. 12



Least stable of them? #x.



#w
## Y2Ho2CBr2Cl3 (PBE)

Data for an optimized crystal structure of Y2Ho2CBr2Cl3.

Cell lengths 8.7783, 8.7783, 7.8648 Å; angles 102.19, 102.19, 24.74 degrees
Atoms (fractional coordinates):
1 Y 0.0026 0.0026 0.2915
2 Y 0.9974 0.9974 0.7085
3 Ho 0.3583 0.3583 0.4275
4 Ho 0.6417 0.6417 0.5725
5 C 0.5000 0.5000 0.5000
6 Br 0.1679 0.1679 0.8478
7 Br 0.8321 0.8321 0.1522
8 Cl 0.1716 0.1716 0.3411
9 Cl 0.5000 0.5000 0.0000
10 Cl 0.8284 0.8284 0.6589

Summary:
* space group: C2/m, No. 12



#x
## Y2Ho2CBr2Cl3 (PBE)

Data for an optimized crystal structure of Y2Ho2CBr2Cl3.

Cell lengths 8.9714, 8.9714, 7.7908 Å; angles 103.15, 103.15, 24.05 degrees
Atoms (fractional coordinates):
1 Y 0.1408 0.1408 0.0782
2 Y 0.8592 0.8592 0.9218
3 Ho 0.5004 0.5004 0.2096
4 Ho 0.4996 0.4996 0.7904
5 C 0.0000 0.0000 0.0000
6 Br 0.3299 0.3299 0.1826
7 Br 0.6701 0.6701 0.8174
8 Cl 0.0000 0.0000 0.5000
9 Cl 0.3405 0.3405 0.6617
10 Cl 0.6595 0.6595 0.3383

Summary:
* space group: C2/m, No. 12



Least stable of them? #w.